Here is a relaxed NbReGe2 crystal from Alexandria via LeMat-Bulk. Energies are from PBEsol.

Output
* E_tot: -8.469 eV/atom
* formation enthalpy at 0 K: 0.04 eV/atom

Geometry as CIF:
```
data_NbReGe2
_symmetry_space_group_name_H-M 'F m -3 m'
_symmetry_Int_Tables_number 225
_symmetry_space_group_name_Hall '-F 4 2 3'
_cell_length_a 6.235
_cell_length_b 6.235
_cell_length_c 6.235
_cell_angle_alpha 90.00
_cell_angle_beta 90.00
_cell_angle_gamma 90.00
loop_
_atom_site_label
_atom_site_fract_x
_atom_site_fract_y
_atom_site_fract_z
Nb1 0.000 0.000 0.000
Re1 0.000 0.000 0.500
Ge1 0.250 0.250 0.250
```